Compound: Na3TaIr
Source: Alexandria via LeMat-Bulk
Functional: PBE-GGA
Structure: relaxed

The space group is Pm-3m (No. 221) and the conventional cell measures 5.208, 5.208 and 5.208 Å, with angles of 90.00, 90.00 and 90.00 degrees. Symmetry generates all atoms from Na at (0.000, 0.000, 0.500), Ta at (0.500, 0.500, 0.500) and Ir at (0.000, 0.000, 0.000).

The polymorph energy (0 for the lowest one) comes out at 0.000 eV/atom. The formation energy from the elements comes out at 1.97 eV per atom. The calculation puts the size of the total moment at 0.000 μB per formula unit. The calculation puts the calculated density at 5197 kg/m³. The density of states at the Fermi level is 3.864 states/eV per atom.

***

Compound: AgMo6S8
Source: Alexandria via LeMat-Bulk
Functional: PBE-GGA
Structure: relaxed

The space group is R-3 (No. 148, hexagonal axes) and the conventional cell measures 9.4106, 9.4106 and 10.8673 Å, with angles of 90.00, 90.00 and 120.00 degrees. Symmetry generates all atoms from Ag at (0.0000, 0.0000, 0.0000), Mo at (0.0155, 0.8400, 0.3920), S at (0.0000, 0.0000, 0.2226) and S at (0.0195, 0.6354, 0.2519).

For the total energy, the calculation gives -7.363 eV/atom. The calculation puts the size of the total moment at 0.000 μB per formula unit. The calculation puts the calculated density at 5619 kg/m³. The density of states at the Fermi level is 0.652 states/eV per atom.

***

Compound: MnVTe2N
Source: Alexandria via LeMat-Bulk
Functional: PBE-GGA
Structure: relaxed

The space group is P4/mmm (No. 123) and the conventional cell measures 5.311, 5.311 and 3.467 Å, with angles of 90.00, 90.00 and 90.00 degrees. Symmetry generates all atoms from Mn at (0.000, 0.000, 0.000), V at (0.500, 0.500, 0.500), Te at (0.000, 0.500, 0.000) and N at (0.000, 0.000, 0.500).

The polymorph energy (0 for the lowest one) comes out at 0.078 eV/atom. The calculation puts the size of the total moment at 4.631 μB per formula unit. The calculation puts the calculated density at 6369 kg/m³. The density of states at the Fermi level is 0.704 states/eV per atom.

***

Compound: Ba2SrPbO4
Source: Alexandria via LeMat-Bulk
Functional: PBE-GGA
Structure: relaxed

The space group is P2/m (No. 10) and the conventional cell measures 6.622, 3.846 and 6.649 Å, with angles of 90.00, 109.42 and 90.00 degrees. Symmetry generates all atoms from Ba at (0.000, 0.000, 0.000), Ba at (0.000, 0.500, 0.500), Sr at (0.500, 0.000, 0.500), Pb at (0.500, 0.500, 0.000), O at (0.258, 0.000, 0.746) and O at (0.262, 0.500, 0.260).

For the total energy, the calculation gives -5.792 eV/atom. The calculation puts the size of the total moment at 0.000 μB per formula unit. The calculation puts the calculated density at 6587 kg/m³. The density of states at the Fermi level is 0.000 states/eV per atom.

***

Compound: Pr3Dy6Ho2Sc
Source: Alexandria via LeMat-Bulk
Functional: PBE-GGA
Structure: relaxed

The space group is C2/m (No. 12) and the conventional cell measures 6.175, 10.695 and 11.784 Å, with angles of 90.00, 100.06 and 90.00 degrees. Symmetry generates all atoms from Pr at (0.000, 0.000, 0.000), Pr at (0.000, 0.333, 0.000), Dy at (0.246, 0.335, 0.742), Dy at (0.250, 0.000, 0.743), Ho at (0.000, 0.166, 0.500) and Sc at (0.000, 0.500, 0.500).

The formation energy from the elements comes out at 0.03 eV per atom. The calculation puts the size of the total moment at 0.000 μB per formula unit. The calculation puts the calculated density at 7682 kg/m³. The density of states at the Fermi level is 1.401 states/eV per atom.

***

Compound: Pr2TmNpO8
Source: Alexandria via LeMat-Bulk
Functional: PBE-GGA
Structure: relaxed

The space group is P2/m (No. 10) and the conventional cell measures 3.941, 7.569 and 5.573 Å, with angles of 90.00, 94.73 and 90.00 degrees. Symmetry generates all atoms from Pr at (0.000, 0.242, 0.000), Tm at (0.500, 0.000, 0.500), Np at (0.500, 0.500, 0.500), O at (0.015, 0.000, 0.259), O at (0.057, 0.500, 0.285) and O at (0.464, 0.277, 0.726).

For the total energy, the calculation gives -8.659 eV/atom. The calculation puts the size of the total moment at 0.000 μB per formula unit. The calculation puts the calculated density at 8176 kg/m³. The density of states at the Fermi level is 0.015 states/eV per atom.

***

Compound: LiSi2W
Source: Alexandria via LeMat-Bulk
Functional: PBE-GGA
Structure: relaxed

The space group is Pm (No. 6) and the conventional cell measures 2.640, 4.529 and 4.606 Å, with angles of 90.00, 90.00 and 90.00 degrees. Symmetry generates all atoms from Li at (0.000, 0.000, 0.000), Si at (0.500, 0.000, 0.487), Si at (0.501, 0.500, 0.153) and W at (0.002, 0.500, 0.662).

The polymorph energy (0 for the lowest one) comes out at 0.089 eV/atom. The calculation puts the size of the total moment at 0.000 μB per formula unit. The calculation puts the calculated density at 7446 kg/m³. The density of states at the Fermi level is 0.290 states/eV per atom.

***

Compound: DyLuCu2
Source: Alexandria via LeMat-Bulk
Functional: PBE-GGA
Structure: relaxed

The space group is Fm-3m (No. 225) and the conventional cell measures 6.861, 6.861 and 6.861 Å, with angles of 90.00, 90.00 and 90.00 degrees. Symmetry generates all atoms from Dy at (0.000, 0.000, 0.000), Lu at (0.000, 0.000, 0.500) and Cu at (0.250, 0.250, 0.250).

The polymorph energy (0 for the lowest one) comes out at 0.002 eV/atom. The formation energy from the elements comes out at -0.28 eV per atom. The calculation puts the size of the total moment at 0.000 μB per formula unit. The calculation puts the calculated density at 9552 kg/m³. The density of states at the Fermi level is 0.591 states/eV per atom.

***

Compound: Nd6Mg2Tl
Source: Alexandria via LeMat-Bulk
Functional: PBE-GGA
Structure: relaxed

The space group is C2/m (No. 12) and the conventional cell measures 17.174, 3.713 and 11.768 Å, with angles of 90.00, 129.56 and 90.00 degrees. Symmetry generates all atoms from Nd at (0.042, 0.000, 0.187), Nd at (0.180, 0.500, 0.540), Nd at (0.192, 0.500, 0.107), Mg at (0.097, 0.500, 0.755) and Tl at (0.000, 0.000, 0.500).

The polymorph energy (0 for the lowest one) comes out at 0.039 eV/atom. The formation energy from the elements comes out at -0.04 eV per atom. The calculation puts the size of the total moment at 0.000 μB per formula unit. The calculation puts the calculated density at 6422 kg/m³. The density of states at the Fermi level is 1.156 states/eV per atom.

***

Compound: MnOsPb2
Source: Alexandria via LeMat-Bulk
Functional: PBE-GGA
Structure: relaxed

The space group is P4mm (No. 99) and the conventional cell measures 3.198, 3.198 and 8.513 Å, with angles of 90.00, 90.00 and 90.00 degrees. Symmetry generates all atoms from Mn at (0.000, 0.000, 0.000), Os at (0.500, 0.500, 0.139), Pb at (0.000, 0.000, 0.381) and Pb at (0.500, 0.500, 0.768).

The polymorph energy (0 for the lowest one) comes out at 0.000 eV/atom. The formation energy from the elements comes out at 0.38 eV per atom. The calculation puts the size of the total moment at 2.918 μB per formula unit. The calculation puts the calculated density at 12578 kg/m³. The density of states at the Fermi level is 0.527 states/eV per atom.

***

Compound: ScPdSe2
Source: Alexandria via LeMat-Bulk
Functional: PBE-GGA
Structure: relaxed

The space group is R-3m (No. 166, hexagonal axes) and the conventional cell measures 3.8130, 3.8130 and 23.7191 Å, with angles of 90.00, 90.00 and 120.00 degrees. Symmetry generates all atoms from Sc at (0.0000, 0.0000, 0.0000), Pd at (0.0000, 0.0000, 0.5000) and Se at (0.0000, 0.0000, 0.3982).

The polymorph energy (0 for the lowest one) comes out at 0.049 eV/atom. The calculation puts the size of the total moment at 0.000 μB per formula unit. The calculation puts the calculated density at 5159 kg/m³. The density of states at the Fermi level is 1.100 states/eV per atom.

***

Compound: ZrAlAs2
Source: Alexandria via LeMat-Bulk
Functional: PBE-GGA
Structure: relaxed

The space group is P4/mmm (No. 123) and the conventional cell measures 4.594, 4.594 and 3.477 Å, with angles of 90.00, 90.00 and 90.00 degrees. Symmetry generates all atoms from Zr at (0.000, 0.000, 0.000), Al at (0.500, 0.500, 0.000) and As at (0.000, 0.500, 0.500).

The formation energy from the elements comes out at -0.39 eV per atom. The calculation puts the size of the total moment at 0.000 μB per formula unit. The calculation puts the calculated density at 6065 kg/m³. The density of states at the Fermi level is 0.724 states/eV per atom.